[1]
Material: YIn3Mo
Method: DFT, PBE-GGA
State: relaxed

Calculated values
Energy of formation   0.3345 eV per atom
Relative energy among the computed polymorphs   0.0 kJ per mole of atoms
Space-group type   No. 221
N(E_F)   4.07 states/eV/cell
VASP energy   -23.84 eV per cell
Total magnetic moment   0.00 μB/f.u.

Structure (POSCAR):
```
YIn3Mo
1.0
5.198 0.000 0.000
0.000 5.198 0.000
0.000 0.000 5.198
In Y Mo
3 1 1
Direct
0.000 0.500 0.000 In
0.000 0.000 0.500 In
0.500 0.000 0.000 In
0.500 0.500 0.500 Y
0.000 0.000 0.000 Mo
```

[2]
Material: Pm2Pr4SmMg
Method: DFT, PBE-GGA
State: relaxed

Calculated values
Energy of formation   0.0641 eV per atom
Space-group type   No. 123
N(E_F)   13.13 states/eV/cell
VASP energy   -34.42 eV per cell
Total magnetic moment   0.00 μB/f.u.

Structure (POSCAR):
```
Pm2Pr4SmMg
1.0
-4.014 -3.743 -2.195
4.089 -2.260 -3.623
6.000 -7.478 1.780
Pr Sm Pm Mg
4 1 2 1
Direct
0.000 0.765 0.734 Pr
0.000 0.235 0.266 Pr
0.500 0.734 0.266 Pr
0.500 0.266 0.734 Pr
0.500 0.500 0.000 Sm
0.500 0.000 0.500 Pm
0.000 0.000 0.000 Pm
0.000 0.500 0.500 Mg
```

[3]
Material: NaNiHgBi2
Method: DFT, PBE-GGA
State: relaxed

Calculated values
Energy of formation   0.0365 eV per atom
Space-group type   No. 123
N(E_F)   2.82 states/eV/cell
VASP energy   -14.98 eV per cell
Total magnetic moment   0.00 μB/f.u.

Structure (POSCAR):
```
NaNiHgBi2
1.0
-4.142 2.409 2.062
0.936 -2.312 4.582
2.967 3.925 1.374
Bi Hg Ni Na
2 1 1 1
Direct
0.000 0.500 0.000 Bi
0.500 0.000 0.000 Bi
0.000 0.000 0.500 Hg
0.000 0.000 0.000 Ni
0.500 0.500 0.500 Na
```

[4]
Material: MnAgCl2
Method: DFT, PBE-GGA
State: relaxed

Calculated values
Relative energy among the computed polymorphs   60.8 kJ per mole of atoms
Space-group type   No. 216
Formation energy (no corrections)   0.152 eV per atom
N(E_F)   3.41 states/eV/cell
VASP energy   -15.11 eV per cell
Total magnetic moment   4.47 μB/f.u.

Structure (POSCAR):
```
MnAgCl2
1.0
-3.625 -2.461 2.011
-0.732 -4.615 -1.188
0.935 -3.489 3.193
Ag Cl Mn
1 2 1
Direct
0.500 0.500 0.500 Ag
0.000 0.000 0.000 Cl
0.250 0.250 0.250 Cl
0.750 0.750 0.750 Mn
```

[5]
Material: CaHg2Pd8
Method: DFT, PBE-GGA
State: relaxed

Calculated values
Energy of formation   -0.1873 eV per atom
Space-group type   No. 12
N(E_F)   7.00 states/eV/cell
VASP energy   -46.21 eV per cell
Total magnetic moment   0.00 μB/f.u.

Structure (POSCAR):
```
CaHg2Pd8
1.0
-3.466 1.553 -3.189
-4.703 -3.766 -4.458
-7.234 -2.000 3.020
Hg Pd Ca
2 8 1
Direct
0.000 0.684 0.632 Hg
0.000 0.316 0.368 Hg
0.500 0.198 0.604 Pd
0.500 0.802 0.396 Pd
0.238 0.896 0.728 Pd
0.762 0.104 0.272 Pd
0.238 0.624 0.272 Pd
0.254 0.495 0.000 Pd
0.762 0.376 0.728 Pd
0.746 0.505 0.000 Pd
0.500 0.000 0.000 Ca
```

[6]
Material: Ac2Zn3Cu12Ag
Method: DFT, PBE-GGA
State: relaxed

Calculated values
Energy of formation   0.2714 eV per atom
Space-group type   No. 166
N(E_F)   6.74 states/eV/cell
VASP energy   -59.16 eV per cell
Total magnetic moment   0.00 μB/f.u.

Structure (POSCAR):
```
Ac2Zn3Cu12Ag
1.0
-7.586 -1.885 -0.914
-1.651 -5.902 -4.937
-2.415 -6.772 3.199
Cu Ag Zn Ac
12 1 3 2
Direct
0.346 0.346 0.025 Cu
0.654 0.975 0.654 Cu
0.346 0.025 0.346 Cu
0.867 0.867 0.363 Cu
0.867 0.363 0.867 Cu
0.133 0.637 0.133 Cu
0.654 0.654 0.975 Cu
0.133 0.133 0.637 Cu
0.637 0.133 0.133 Cu
0.363 0.867 0.867 Cu
0.975 0.654 0.654 Cu
0.025 0.346 0.346 Cu
0.000 0.000 0.000 Ag
0.000 0.000 0.500 Zn
0.000 0.500 0.000 Zn
0.500 0.000 0.000 Zn
0.396 0.396 0.396 Ac
0.604 0.604 0.604 Ac
```

[7]
Material: TaNbPd2Se6
Method: DFT, PBE-GGA
State: relaxed

Calculated values
Space-group type   No. 15
Formation energy (no corrections)   -0.435 eV per atom
N(E_F)   13.62 states/eV/cell
VASP energy   -115.14 eV per cell
Total magnetic moment   0.00 μB/f.u.

Structure (POSCAR):
```
TaNbPd2Se6
1.0
-3.855 4.688 1.340
-4.287 -3.929 6.499
4.366 3.073 6.896
Se Nb Pd Ta
12 2 4 2
Direct
0.881 0.045 0.202 Se
0.619 0.798 0.955 Se
0.899 0.669 0.501 Se
0.101 0.331 0.499 Se
0.381 0.202 0.045 Se
0.379 0.891 0.357 Se
0.399 0.501 0.669 Se
0.621 0.109 0.643 Se
0.879 0.357 0.891 Se
0.119 0.955 0.798 Se
0.601 0.499 0.331 Se
0.121 0.643 0.109 Se
0.750 0.765 0.235 Nb
0.250 0.235 0.765 Nb
0.309 0.389 0.243 Pd
0.809 0.243 0.389 Pd
0.191 0.757 0.611 Pd
0.691 0.611 0.757 Pd
0.750 0.088 0.912 Ta
0.250 0.912 0.088 Ta
```

What is the formula in the first record? YIn3Mo